No. 1
Al3ReB: optimized geometry, PBE.

Unit cell a=4.1175 b=4.1175 c=4.1175 alpha=90.00 beta=90.00 gamma=90.00
With the nearest neighbours (Å) after each atom.
Sites, in units of the cell vectors:
Re  0.5000  0.5000  0.5000  12 Al 2.91
B  0.0000  0.0000  0.0000  6 Al 2.06
Al  0.0000  0.5000  0.0000  2 B 2.06
Al  0.0000  0.0000  0.5000  2 B 2.06
Al  0.5000  0.0000  0.0000  2 B 2.06

Results
ρ: 6.61 Mg/m³
space-group type: No. 221
polymorph energy (0 for the lowest one): 0 meV/atom
raw total energy: -27.37 eV/f.u.
crystal system: cubic
calculated formation energy: 0.596 eV/atom

***

No. 2
AlReB3: optimized geometry, PBE.

Unit cell a=4.1542 b=4.1542 c=4.1542 alpha=90.00 beta=90.00 gamma=90.00
With the nearest neighbours (Å) after each atom.
Sites, in units of the cell vectors:
Re  0.0000  0.0000  0.0000  6 B 2.08
B  0.0000  0.5000  0.0000  2 Re 2.08
B  0.0000  0.0000  0.5000  2 Re 2.08
B  0.5000  0.0000  0.0000  2 Re 2.08
Al  0.5000  0.5000  0.5000  12 B 2.94

Results
ρ: 5.69 Mg/m³
space-group type: No. 221
polymorph energy (0 for the lowest one): 0 meV/atom
raw total energy: -30.89 eV/f.u.
crystal system: cubic
calculated formation energy: 1.066 eV/atom

***

No. 3
AlRe2B: optimized geometry, PBE.

Unit cell a=4.1364 b=4.1364 c=4.1364 alpha=60.00 beta=60.00 gamma=60.00
With the nearest neighbours (Å) after each atom.
Sites, in units of the cell vectors:
Re  0.2500  0.2500  0.2500  4 Al 2.53, 4 B 2.53
Re  0.7500  0.7500  0.7500  4 Al 2.53, 4 B 2.53
B  0.0000  0.0000  0.0000  8 Re 2.53
Al  0.5000  0.5000  0.5000  8 Re 2.53

Results
ρ: 13.61 Mg/m³
space-group type: No. 225
polymorph energy (0 for the lowest one): 229 meV/atom
raw total energy: -33.44 eV/f.u.
crystal system: cubic
calculated formation energy: 0.469 eV/atom

***

No. 4
AlRe3B: optimized geometry, PBE.

Unit cell a=4.1242 b=4.1242 c=4.1242 alpha=90.00 beta=90.00 gamma=90.00
With the nearest neighbours (Å) after each atom.
Sites, in units of the cell vectors:
Re  0.0000  0.5000  0.0000  2 B 2.06
Re  0.0000  0.0000  0.5000  2 B 2.06
Re  0.5000  0.0000  0.0000  2 B 2.06
B  0.0000  0.0000  0.0000  6 Re 2.06
Al  0.5000  0.5000  0.5000  12 Re 2.92

Results
ρ: 14.12 Mg/m³
space-group type: No. 221
polymorph energy (0 for the lowest one): 0 meV/atom
raw total energy: -46.63 eV/f.u.
crystal system: cubic
calculated formation energy: 0.226 eV/atom

***

No. 5
AlRe2B2: optimized geometry, PBE.

Unit cell a=5.9429 b=5.9429 c=3.0270 alpha=90.00 beta=90.00 gamma=90.00
With the nearest neighbours (Å) after each atom.
Sites, in units of the cell vectors:
Re  0.1680  0.6680  0.5000  6 B 2.30-2.34
Re  0.6680  0.8320  0.5000  6 B 2.30-2.34
Re  0.8320  0.3320  0.5000  6 B 2.30-2.34
Re  0.3320  0.1680  0.5000  6 B 2.30-2.34
B  0.3802  0.8802  0.0000  1 B 2.01
B  0.8802  0.6198  0.0000  1 B 2.01
B  0.6198  0.1198  0.0000  1 B 2.01
B  0.1198  0.3802  0.0000  1 B 2.01
Al  0.0000  0.0000  0.0000  4 B 2.37
Al  0.5000  0.5000  0.0000  4 B 2.37

Results
ρ: 13.08 Mg/m³
space-group type: No. 127
raw total energy: -43.10 eV/f.u.
crystal system: tetragonal
calculated formation energy: -0.222 eV/atom

***

No. 6
AlReB3: optimized geometry, PBE.

Unit cell a=3.9053 b=3.9053 c=3.9053 alpha=90.00 beta=90.00 gamma=90.00
With the nearest neighbours (Å) after each atom.
Sites, in units of the cell vectors:
Re  0.5000  0.5000  0.5000  12 B 2.76
B  0.0000  0.5000  0.0000  2 Al 1.95
B  0.0000  0.0000  0.5000  2 Al 1.95
B  0.5000  0.0000  0.0000  2 Al 1.95
Al  0.0000  0.0000  0.0000  6 B 1.95

Results
ρ: 6.85 Mg/m³
space-group type: No. 221
polymorph energy (0 for the lowest one): 1182 meV/atom
raw total energy: -24.98 eV/f.u.
crystal system: cubic
calculated formation energy: 2.248 eV/atom